(1)
DFT (PBE) results for crystalline Zr2SiBr at its relaxed geometry.

polymorph energy (0 for the lowest one) = 421 meV per atom

a b c (Å): 3.3953 3.3953 28.6565
angles (deg): 90.00 90.00 120.00
Space group R3m (No. 160, hexagonal axes)
Asymmetric unit:
Zr (0.0000, 0.0000, 0.0000) x3
Zr (0.0000, 0.0000, 0.2481) x3
Si (0.0000, 0.0000, 0.7345) x3
Br (0.0000, 0.0000, 0.5139) x3



(2)
DFT (PBE) results for crystalline Li3Tl3FeCl8 at its relaxed geometry.

a b c (Å): 13.295 7.688 8.625
angles (deg): 90.00 120.90 90.00
Space group C2/m (No. 12)
Asymmetric unit:
Li (0.000, 0.000, 0.000) x2
Li (0.250, 0.250, 0.000) x4
Tl (0.000, 0.500, 0.500) x2
Tl (0.250, 0.250, 0.500) x4
Fe (0.000, 0.500, 0.000) x2
Cl (0.018, 0.261, 0.815) x8
Cl (0.220, 0.500, 0.184) x4
Cl (0.229, 0.000, 0.187) x4



(3)
DFT (PBE) results for crystalline BaTlF at its relaxed geometry.

a b c (Å): 4.8148 4.8148 27.1189
angles (deg): 90.00 90.00 120.00
Space group R-3m (No. 166, hexagonal axes)
Asymmetric unit:
Ba (0.0000, 0.0000, 0.1022) x6
Tl (0.0000, 0.0000, 0.3480) x6
F (0.0000, 0.0000, 0.1986) x6



(4)
DFT (PBE) results for crystalline CsYCdBr6 at its relaxed geometry.

a b c (Å): 7.3426 7.3426 8.1209
angles (deg): 90.00 90.00 120.00
Space group P312 (No. 149)
Asymmetric unit:
Cs (0.0000, 0.0000, 0.0000) x1
Y (0.3333, 0.6667, 0.5000) x1
Cd (0.6667, 0.3333, 0.5000) x1
Br (0.0001, 0.3791, 0.7021) x6



(5)
DFT (PBE) results for crystalline VNiMoPt at its relaxed geometry.

ΔH_f (0 K) = -1.15 eV/f.u.
polymorph energy (0 for the lowest one) = 0 meV per atom

a b c (Å): 3.651 3.794 3.980
angles (deg): 90.00 90.00 90.00
Space group Pmmm (No. 47)
Asymmetric unit:
V (0.000, 0.000, 0.000) x1
Ni (0.000, 0.500, 0.500) x1
Mo (0.500, 0.500, 0.000) x1
Pt (0.500, 0.000, 0.500) x1



(6)
DFT (PBE) results for crystalline BaAg2CI at its relaxed geometry.

a b c (Å): 5.442 5.442 6.832
angles (deg): 90.00 90.00 90.00
Space group P4/mmm (No. 123)
Asymmetric unit:
Ba (0.000, 0.000, 0.000) x1
Ag (0.000, 0.500, 0.500) x2
C (0.500, 0.500, 0.000) x1
I (0.000, 0.000, 0.500) x1



(7)
DFT (PBE) results for crystalline La8TbHo4 at its relaxed geometry.

ΔH_f (0 K) = 2.11 eV/f.u.

a b c (Å): 7.2331 7.2331 30.1504
angles (deg): 90.00 90.00 120.00
Space group R-3m (No. 166, hexagonal axes)
Asymmetric unit:
La (0.0000, 0.0000, 0.2097) x6
La (0.0300, 0.5150, 0.7621) x18
Tb (0.0000, 0.0000, 0.5000) x3
Ho (0.0000, 0.0000, 0.0000) x3
Ho (0.0000, 0.5000, 0.0000) x9



(8)
DFT (PBE) results for crystalline CaP2 at its relaxed geometry.

ΔH_f (0 K) = -0.88 eV/f.u.

a b c (Å): 6.893 6.893 6.893
angles (deg): 90.00 90.00 90.00
Space group Pa-3 (No. 205)
Asymmetric unit:
Ca (0.000, 0.000, 0.000) x4
P (0.086, 0.586, 0.914) x8



(9)
DFT (PBE) results for crystalline YPaOs4 at its relaxed geometry.

ΔH_f (0 K) = -1.60 eV/f.u.

a b c (Å): 7.592 7.592 7.592
angles (deg): 90.00 90.00 90.00
Space group F-43m (No. 216)
Asymmetric unit:
Y (0.000, 0.000, 0.000) x4
Pa (0.250, 0.250, 0.750) x4
Os (0.125, 0.125, 0.375) x16



(10)
DFT (PBE) results for crystalline KSrBiI6 at its relaxed geometry.

a b c (Å): 8.2691 8.2691 15.3588
angles (deg): 90.00 90.00 120.00
Space group P-31c (No. 163)
Asymmetric unit:
K (0.0000, 0.0000, 0.0000) x2
Sr (0.3333, 0.6667, 0.2500) x2
Bi (0.3333, 0.6667, 0.7500) x2
I (0.0172, 0.3725, 0.6310) x12



(11)
DFT (PBE) results for crystalline Tl3HgSCl at its relaxed geometry.

a b c (Å): 9.221 4.427 9.966
angles (deg): 90.00 93.49 90.00
Space group P2_1/m (No. 11)
Asymmetric unit:
Tl (0.072, 0.250, 0.164) x2
Tl (0.134, 0.250, 0.597) x2
Tl (0.368, 0.750, 0.904) x2
Hg (0.363, 0.750, 0.257) x2
S (0.154, 0.250, 0.893) x2
Cl (0.342, 0.750, 0.594) x2



(12)
DFT (PBE) results for crystalline Ca3Nd2AgTe6 at its relaxed geometry.

a b c (Å): 7.785 13.479 7.789
angles (deg): 90.00 109.58 90.00
Space group C2/m (No. 12)
Asymmetric unit:
Ca (0.000, 0.000, 0.000) x2
Ca (0.000, 0.332, 0.000) x4
Nd (0.000, 0.166, 0.500) x4
Ag (0.000, 0.500, 0.500) x2
Te (0.245, 0.500, 0.250) x4
Te (0.246, 0.336, 0.748) x8



(13)
DFT (PBE) results for crystalline Sm2Zn3CuPt4 at its relaxed geometry.

ΔH_f (0 K) = -7.30 eV/f.u.

a b c (Å): 4.087 4.087 11.159
angles (deg): 90.00 90.00 90.00
Space group P-4m2 (No. 115)
Asymmetric unit:
Sm (0.000, 0.500, 0.248) x2
Zn (0.000, 0.500, 0.865) x2
Zn (0.500, 0.500, 0.500) x1
Cu (0.000, 0.000, 0.500) x1
Pt (0.000, 0.000, 0.000) x1
Pt (0.000, 0.500, 0.643) x2
Pt (0.500, 0.500, 0.000) x1



(14)
DFT (PBE) results for crystalline Ba3Ga3Si2 at its relaxed geometry.

a b c (Å): 4.315 12.843 16.834
angles (deg): 90.00 90.00 90.00
Space group Cmcm (No. 63)
Asymmetric unit:
Ba (0.000, 0.019, 0.250) x4
Ba (0.000, 0.333, 0.094) x8
Ga (0.000, 0.068, 0.053) x8
Ga (0.000, 0.262, 0.750) x4
Si (0.000, 0.374, 0.618) x8



(15)
DFT (PBE) results for crystalline Pu3Ru5 at its relaxed geometry.

ΔH_f (0 K) = -0.62 eV/f.u.

a b c (Å): 7.245 9.077 4.293
angles (deg): 90.00 90.00 90.00
Space group Cmmm (No. 65)
Asymmetric unit:
Pu (0.000, 0.000, 0.000) x2
Pu (0.000, 0.297, 0.500) x4
Ru (0.000, 0.500, 0.000) x2
Ru (0.207, 0.000, 0.500) x4
Ru (0.250, 0.250, 0.000) x4



(16)
DFT (PBE) results for crystalline SrTa2Au at its relaxed geometry.

ΔH_f (0 K) = 2.63 eV/f.u.
polymorph energy (0 for the lowest one) = 438 meV per atom

a b c (Å): 4.938 4.938 6.966
angles (deg): 90.00 90.00 90.00
Space group I-4m2 (No. 119)
Asymmetric unit:
Sr (0.000, 0.000, 0.000) x2
Ta (0.000, 0.000, 0.500) x2
Ta (0.000, 0.500, 0.750) x2
Au (0.000, 0.500, 0.250) x2



(17)
DFT (PBE) results for crystalline InPd6Au3 at its relaxed geometry.

ΔH_f (0 K) = -2.07 eV/f.u.
polymorph energy (0 for the lowest one) = 0 meV per atom

a b c (Å): 8.833 4.121 9.139
angles (deg): 90.00 92.75 90.00
Space group P2_1/m (No. 11)
Asymmetric unit:
In (0.061, 0.250, 0.382) x2
Pd (0.048, 0.750, 0.902) x2
Pd (0.139, 0.250, 0.691) x2
Pd (0.156, 0.750, 0.194) x2
Pd (0.240, 0.750, 0.497) x2
Pd (0.355, 0.250, 0.297) x2
Pd (0.452, 0.750, 0.099) x2
Au (0.249, 0.250, 0.999) x2
Au (0.344, 0.750, 0.798) x2
Au (0.447, 0.250, 0.599) x2



(18)
DFT (PBE) results for crystalline Mg5Sc4Ag at its relaxed geometry.

ΔH_f (0 K) = -0.75 eV/f.u.

a b c (Å): 3.529 3.529 17.872
angles (deg): 90.00 90.00 90.00
Space group P4/mmm (No. 123)
Asymmetric unit:
Mg (0.000, 0.000, 0.000) x1
Mg (0.000, 0.000, 0.205) x2
Mg (0.000, 0.000, 0.414) x2
Sc (0.500, 0.500, 0.105) x2
Sc (0.500, 0.500, 0.304) x2
Ag (0.500, 0.500, 0.500) x1



(19)
DFT (PBE) results for crystalline La2InH at its relaxed geometry.

polymorph energy (0 for the lowest one) = 117 meV per atom

a b c (Å): 6.493 3.736 8.626
angles (deg): 90.00 104.45 90.00
Space group Cm (No. 8)
Asymmetric unit:
La (0.000, 0.000, 0.000) x2
La (0.212, 0.000, 0.641) x2
In (0.275, 0.500, 0.322) x2
H (0.109, 0.500, 0.826) x2



(20)
DFT (PBE) results for crystalline V2CuHOs at its relaxed geometry.

polymorph energy (0 for the lowest one) = 0 meV per atom

a b c (Å): 3.826 3.826 3.724
angles (deg): 90.00 90.00 90.00
Space group P4/mmm (No. 123)
Asymmetric unit:
V (0.000, 0.500, 0.000) x2
Cu (0.000, 0.000, 0.500) x1
H (0.000, 0.000, 0.000) x1
Os (0.500, 0.500, 0.500) x1



no.,calculated total energy (eV/cell),M_tot (μB per formula unit)
1,-75.23,0.0
2,-108.82,4.0
3,-72.15,0.0
4,-32.17,0.0
5,-32.92,0.0
6,-11.66,2.4
7,-180.74,0.0
8,-54.83,1.6
9,-249.92,0.0
10,-51.66,0.0
11,-32.27,0.0
12,-106.31,0.0
13,-48.82,0.0
14,-116.41,0.0
15,-179.98,10.4
16,-52.06,0.0
17,-91.60,0.0
18,-36.90,0.0
19,-34.47,0.0
20,-37.09,0.0